No. 1
Below is a geometry-optimized AcCd8Au6 structure, with properties calculated at the GGA-PBE level.

Lattice parameters (Å, degrees): 8.5058 8.5058 17.0874 90.00 90.00 120.00
Space group R-3 (No. 148, hexagonal axes)
Asymmetric unit:
Ac  0.0000  0.0000  0.0000 [3 per cell]
Cd  0.0000  0.0000  0.3471 [6 per cell]
Cd  0.0009  0.6818  0.7881 [18 per cell]
Au  0.0084  0.6516  0.9497 [18 per cell]

As for the total energy: -2.3103 eV per atom.

=====

No. 2
Below is a geometry-optimized LaSm2DyAs4 structure, with properties calculated at the GGA-PBE level.

Lattice parameters (Å, degrees): 7.328 4.236 7.331 90.00 109.43 90.00
Space group P2/m (No. 10)
Asymmetric unit:
La  0.000  0.000  0.000 [1 per cell]
Sm  0.000  0.500  0.500 [1 per cell]
Sm  0.500  0.000  0.500 [1 per cell]
Dy  0.500  0.500  0.000 [1 per cell]
As  0.256  0.000  0.751 [2 per cell]
As  0.257  0.500  0.253 [2 per cell]

As for the total energy: -6.2250 eV per atom.

=====

No. 3
Below is a geometry-optimized ZrNb2Zn2 structure, with properties calculated at the GGA-PBE level.

Lattice parameters (Å, degrees): 7.940 7.940 2.874 90.00 90.00 90.00
Space group P4/mbm (No. 127)
Asymmetric unit:
Zr  0.000  0.000  0.000 [2 per cell]
Nb  0.119  0.381  0.000 [4 per cell]
Zn  0.177  0.677  0.500 [4 per cell]

The calculation puts the relative energy among the computed polymorphs at 95 meV/atom.

=====

No. 4
Below is a geometry-optimized TiBePt structure, with properties calculated at the GGA-PBE level.

Lattice parameters (Å, degrees): 5.270 10.103 6.176 90.00 90.00 90.00
Space group Cmce (No. 64)
Asymmetric unit:
Ti  0.000  0.184  0.077 [8 per cell]
Be  0.000  0.094  0.437 [8 per cell]
Pt  0.250  0.065  0.750 [8 per cell]

The calculation puts the relative energy among the computed polymorphs at 146 meV/atom.

=====

No. 5
Below is a geometry-optimized Zr2AlW structure, with properties calculated at the GGA-PBE level.

Lattice parameters (Å, degrees): 4.599 4.599 3.615 90.00 90.00 90.00
Space group P4/mmm (No. 123)
Asymmetric unit:
Zr  0.000  0.500  0.000 [2 per cell]
Al  0.000  0.000  0.500 [1 per cell]
W  0.500  0.500  0.500 [1 per cell]

As for the total energy: -8.6032 eV per atom.

=====

No. 6
Below is a geometry-optimized MgRh2 structure, with properties calculated at the GGA-PBE level.

Lattice parameters (Å, degrees): 7.4889 7.4889 2.7650 90.00 90.00 120.00
Space group P-62m (No. 189)
Asymmetric unit:
Mg  0.0000  0.0000  0.0000 [1 per cell]
Mg  0.3333  0.6667  0.5000 [2 per cell]
Rh  0.0000  0.3628  0.0000 [3 per cell]
Rh  0.0000  0.6962  0.5000 [3 per cell]

As for the total energy: -5.5510 eV per atom.

=====

No. 7
Below is a geometry-optimized Ca2Br3Cl structure, with properties calculated at the GGA-PBE level.

Lattice parameters (Å, degrees): 8.5070 8.5070 6.8330 90.00 90.00 120.00
Space group P-3m1 (No. 164)
Asymmetric unit:
Ca  0.0000  0.0000  0.0000 [1 per cell]
Ca  0.0000  0.5000  0.0000 [3 per cell]
Br  0.1659  0.3318  0.2322 [6 per cell]
Cl  0.3333  0.6667  0.8085 [2 per cell]

The formation energy from raw total energies is -2.13 eV per atom.

=====

No. 8
Below is a geometry-optimized Pr6Tm8Pu structure, with properties calculated at the GGA-PBE level.

Lattice parameters (Å, degrees): 9.0345 9.0345 20.7299 90.00 90.00 120.00
Space group R-3 (No. 148, hexagonal axes)
Asymmetric unit:
Pr  0.0660  0.2544  0.2096 [18 per cell]
Tm  0.0000  0.0000  0.0762 [6 per cell]
Tm  0.0817  0.5645  0.3065 [18 per cell]
Pu  0.0000  0.0000  0.5000 [3 per cell]

As for the total energy: -5.1342 eV per atom.

=====

No. 9
Below is a geometry-optimized ZrAl3Pb structure, with properties calculated at the GGA-PBE level.

Lattice parameters (Å, degrees): 5.181 5.181 5.181 90.00 90.00 90.00
Space group Pm-3m (No. 221)
Asymmetric unit:
Zr  0.000  0.000  0.000 [1 per cell]
Al  0.000  0.500  0.500 [3 per cell]
Pb  0.500  0.500  0.500 [1 per cell]

The calculation puts the relative energy among the computed polymorphs at 508 meV/atom.

=====

No. 10
Below is a geometry-optimized Er2SnPd5Au structure, with properties calculated at the GGA-PBE level.

Lattice parameters (Å, degrees): 8.405 8.405 10.627 90.00 90.00 90.00
Space group I4/mcm (No. 140)
Asymmetric unit:
Er  0.128  0.372  0.000 [8 per cell]
Sn  0.000  0.000  0.250 [4 per cell]
Pd  0.000  0.000  0.000 [4 per cell]
Pd  0.194  0.306  0.367 [16 per cell]
Au  0.000  0.500  0.250 [4 per cell]

As for the total energy: -5.0720 eV per atom.

=====

No. 11
Below is a geometry-optimized LaY2ThBi5 structure, with properties calculated at the GGA-PBE level.

Lattice parameters (Å, degrees): 5.717 5.717 12.188 90.00 90.00 90.00
Space group P4/mmm (No. 123)
Asymmetric unit:
La  0.000  0.000  0.000 [1 per cell]
Y  0.500  0.500  0.263 [2 per cell]
Th  0.000  0.000  0.500 [1 per cell]
Bi  0.000  0.000  0.247 [2 per cell]
Bi  0.000  0.500  0.500 [2 per cell]
Bi  0.500  0.500  0.000 [1 per cell]

As for the total energy: -4.8399 eV per atom.

=====

No. 12
Below is a geometry-optimized Li6PrCd6 structure, with properties calculated at the GGA-PBE level.

Lattice parameters (Å, degrees): 5.322 9.939 9.967 90.00 90.00 90.00
Space group Immm (No. 71)
Asymmetric unit:
Li  0.000  0.000  0.227 [4 per cell]
Li  0.250  0.250  0.250 [8 per cell]
Pr  0.000  0.500  0.500 [2 per cell]
Cd  0.000  0.150  0.500 [4 per cell]
Cd  0.000  0.199  0.000 [4 per cell]
Cd  0.000  0.500  0.155 [4 per cell]

As for the total energy: -1.8879 eV per atom.